Crystalline Ce2PaO6 at its relaxed geometry. Source: Alexandria, functional PBE-GGA.

Calculated values
uncorrected formation energy = -3.6283 eV per atom
V = 13.7 A^3/atom

Lattice parameters (Å, degrees): 3.887 5.495 6.692 114.24 106.88 90.00
Sites, in units of the cell vectors:
O 0.160 0.403 0.320
O 0.500 0.237 0.000
O 0.500 0.763 0.000
O 0.840 0.597 0.680
O 0.840 0.083 0.680
O 0.160 0.917 0.320
Ce 0.667 0.667 0.334
Ce 0.333 0.333 0.666
Pa 0.000 0.000 0.000

Crystalline CePa2O8 at its relaxed geometry. Source: Alexandria, functional PBE-GGA.

Calculated values
uncorrected formation energy = -3.0584 eV per atom
V = 14.1 A^3/atom

Lattice parameters (Å, degrees): 3.925 6.620 6.662 108.80 90.00 107.25
Sites, in units of the cell vectors:
O 0.461 0.923 0.391
O 0.788 0.576 0.427
O 0.315 0.630 0.978
O 0.212 0.424 0.573
O 0.539 0.077 0.609
O 0.086 0.173 0.164
O 0.685 0.370 0.022
O 0.914 0.827 0.836
Ce 0.500 0.000 0.000
Pa 0.735 0.470 0.732
Pa 0.265 0.530 0.268

Crystalline CePaO4 at its relaxed geometry. Source: Alexandria, functional PBE-GGA.

Calculated values
uncorrected formation energy = -3.6478 eV per atom
V = 13.7 A^3/atom

Lattice parameters (Å, degrees): 3.860 3.860 5.526 90.00 90.00 90.00
Sites, in units of the cell vectors:
Pa 0.500 0.500 0.500
O 0.500 0.000 0.736
O 0.500 0.000 0.264
O 0.000 0.500 0.736
O 0.000 0.500 0.264
Ce 0.000 0.000 0.000

Crystalline Ce3PaO at its relaxed geometry. Source: Alexandria, functional PBE-GGA.

Calculated values
uncorrected formation energy = -1.0344 eV per atom
V = 22.7 A^3/atom

Lattice parameters (Å, degrees): 4.845 4.845 4.845 90.00 90.00 90.00
Sites, in units of the cell vectors:
Ce 0.500 0.000 0.000
Ce 0.000 0.500 0.000
Ce 0.000 0.000 0.500
O 0.000 0.000 0.000
Pa 0.500 0.500 0.500